Record 1
A plane-wave DFT calculation with PBE-GGA was carried out for CdP after structural relaxation.

a b c (Å): 7.636 4.487 5.030
angles (deg): 90.00 92.69 90.00
Fractional coordinates of all 8 atoms:
Cd 0.379 0.000 0.745
Cd 0.621 0.500 0.755
Cd 0.621 0.000 0.255
Cd 0.379 0.500 0.245
P 0.039 0.000 0.715
P 0.961 0.000 0.285
P 0.961 0.500 0.785
P 0.039 0.500 0.215

Output
**DOS at the Fermi energy**: 2.621 states/eV/cell

***

Record 2
A plane-wave DFT calculation with PBE-GGA was carried out for CeCo4Ge after structural relaxation.

a b c (Å): 4.908 4.908 4.908
angles (deg): 60.00 60.00 60.00
Last column: magnetic moment on the atom in μB.
Fractional coordinates of all 6 atoms:
Co 0.624 0.624 0.624  0.84
Co 0.129 0.624 0.624  0.84
Co 0.624 0.624 0.129  0.84
Co 0.624 0.129 0.624  0.84
Ge 0.250 0.250 0.250  -0.01
Ce 0.000 0.000 0.000  -0.36

Output
**DOS at the Fermi energy**: 10.619 states/eV/cell

***

| no. | energy of formation (eV/atom) | magnetic moment (μB per cell) |
| --- | --- | --- |
| 1 | 0.064 | 0.000 |
| 2 | -0.115 | 2.854 |